a) Material: BiCl2O
Method: DFT, PBE
State: relaxed

Cell and atoms, written as extended XYZ:
```
4
Lattice="0.000 3.360 3.360 3.360 0.000 3.360 3.360 3.360 0.000" Properties=species:S:1:pos:R:3 pbc="T T T"
Bi 3.360 3.360 3.360
O 0.000 0.000 0.000
Cl 1.680 1.680 1.680
Cl 5.039 5.039 5.039
```

Computed properties:
The mass density is 6.5 g cm⁻³. The value obtained for the volume is 18.96 Å³/atom. The calculation puts the total magnetization at 1.0 μB/f.u.



b) Material: BiCl2O
Method: DFT, PBE
State: relaxed

Cell and atoms, written as extended XYZ:
```
8
Lattice="-6.218 5.751 -5.417 -7.901 -4.506 4.285 -7.054 2.067 0.962" Properties=species:S:1:pos:R:3 pbc="T T T"
Bi 0.000 0.000 0.000
Bi -10.166 4.221 -2.511
O -7.059 0.623 -0.566
O -11.007 -0.908 2.340
Cl -7.580 4.420 -3.431
Cl -12.754 3.299 -2.355
Cl -9.388 2.700 -0.353
Cl -10.941 6.463 -3.905
```

Computed properties:
The mass density is 4.6 g cm⁻³. The value obtained for the volume is 26.57 Å³/atom. The calculation puts the total magnetization at 0.0 μB/f.u.



b) ends up most stable, edging out the next structure by 581 meV/atom.



a) Material: Bi2ClO
Method: DFT, PBE
State: relaxed

Cell and atoms, written as extended XYZ:
```
4
Lattice="-0.257 0.242 4.908 -1.727 4.062 2.176 -4.380 -0.082 2.241" Properties=species:S:1:pos:R:3 pbc="T T T"
Bi -1.591 1.055 2.332
Bi -4.773 3.166 6.995
O 0.000 0.000 0.000
Cl -3.182 2.111 4.663
```

Computed properties:
The mass density is 9.2 g cm⁻³. The value obtained for the volume is 21.07 Å³/atom. The calculation puts the total magnetization at 0.0 μB/f.u.



b) Material: Bi2ClO
Method: DFT, PBE
State: relaxed

Cell and atoms, written as extended XYZ:
```
8
Lattice="-4.102 0.195 -3.591 -3.343 -2.214 3.699 -5.562 5.906 2.531" Properties=species:S:1:pos:R:3 pbc="T T T"
Bi -3.895 1.299 -0.732
Bi -4.469 0.140 2.078
Bi -7.352 3.415 2.369
Bi -10.297 2.920 1.563
O -3.723 -1.009 0.054
O -6.314 1.341 3.142
Cl 0.000 0.000 0.000
Cl -6.693 2.546 -0.503
```

Computed properties:
The mass density is 6.9 g cm⁻³. The value obtained for the volume is 28.17 Å³/atom. The calculation puts the total magnetization at 0.0 μB/f.u.



b) ends up most stable, edging out the next structure by 511 meV/atom.



a) Material: BiCl3O
Method: DFT, PBE
State: relaxed

Cell and atoms, written as extended XYZ:
```
5
Lattice="5.418 0.000 0.000 0.000 5.418 0.000 0.000 0.000 5.418" Properties=species:S:1:pos:R:3 pbc="T T T"
Bi 0.000 0.000 0.000
O 2.709 2.709 2.709
Cl 0.000 2.709 0.000
Cl 0.000 0.000 2.709
Cl 2.709 0.000 0.000
```

Computed properties:
The mass density is 3.5 g cm⁻³. The value obtained for the volume is 31.82 Å³/atom. The calculation puts the total magnetization at 2.0 μB/f.u.



b) Material: BiCl3O
Method: DFT, PBE
State: relaxed

Cell and atoms, written as extended XYZ:
```
10
Lattice="-2.680 -2.055 7.539 -6.092 -5.259 1.861 0.717 -7.344 3.713" Properties=species:S:1:pos:R:3 pbc="T T T"
Bi -2.683 -4.883 4.368
Bi -5.372 -9.776 8.745
Cl -3.010 -9.793 7.335
Cl -3.350 -7.505 3.869
Cl -1.647 -5.906 6.702
Cl -5.045 -4.865 5.778
Cl -4.705 -7.154 9.244
Cl -6.408 -8.753 6.411
O -7.301 -13.286 11.885
O -0.754 -1.373 1.228
```

Computed properties:
The mass density is 3.3 g cm⁻³. The value obtained for the volume is 33.22 Å³/atom. The calculation puts the total magnetization at 2.0 μB/f.u.



b) ends up most stable, edging out the next structure by 103 meV/atom.



a) Material: BiPbClO2
Method: DFT, PBE
State: relaxed

Cell and atoms, written as extended XYZ:
```
10
Lattice="-3.424 2.143 -0.713 -3.821 -5.921 0.554 0.408 3.102 7.365" Properties=species:S:1:pos:R:3 pbc="T T T"
Bi -3.241 -2.146 3.217
Bi -3.596 1.470 3.988
Pb -3.120 -0.663 7.093
Pb -3.717 -0.013 0.112
Cl -0.821 2.432 5.352
Cl -6.017 -3.108 1.853
O -4.376 -0.219 2.660
O -2.461 -0.457 4.546
O -4.145 1.298 6.106
O -2.693 -1.974 1.100
```

Computed properties:
The mass density is 7.2 g cm⁻³. The value obtained for the volume is 22.27 Å³/atom. The calculation puts the total magnetization at 0.0 μB/f.u.



b) Material: BiPbClO2
Method: DFT, PBE
State: relaxed

Cell and atoms, written as extended XYZ:
```
10
Lattice="-1.206 5.893 -3.482 0.038 -6.638 -2.061 -5.509 -0.409 1.216" Properties=species:S:1:pos:R:3 pbc="T T T"
Bi -5.228 4.487 -2.446
Bi -1.449 -5.640 -1.882
Pb -4.848 0.656 -2.011
Pb -1.829 -1.809 -2.316
Cl -4.412 -3.744 -1.512
Cl -2.265 2.590 -2.815
O -3.032 -0.381 -0.708
O -0.891 -0.568 -4.227
O -3.645 -0.772 -3.619
O -0.277 -0.177 -1.316
```

Computed properties:
The mass density is 7.8 g cm⁻³. The value obtained for the volume is 20.48 Å³/atom. The calculation puts the total magnetization at 0.0 μB/f.u.



b) ends up most stable, edging out the next structure by 15 meV/atom.



a) Material: BiSCl2O
Method: DFT, PBE
State: relaxed

Cell and atoms, written as extended XYZ:
```
5
Lattice="-3.370 2.055 -2.285 -2.390 -3.884 0.031 -1.903 1.201 3.886" Properties=species:S:1:pos:R:3 pbc="T T T"
S -0.951 0.601 1.943
Bi -3.831 -0.314 0.816
O 0.000 0.000 0.000
Cl -1.195 -1.942 0.015
Cl -1.685 1.028 -1.142
```

Computed properties:
The mass density is 5.8 g cm⁻³. The value obtained for the volume is 18.68 Å³/atom. The calculation puts the total magnetization at 0.0 μB/f.u.



b) Material: BiSCl2O
Method: DFT, PBE
State: relaxed

Cell and atoms, written as extended XYZ:
```
5
Lattice="-0.975 -1.699 -5.059 4.993 -2.105 -0.256 -1.849 -4.618 1.907" Properties=species:S:1:pos:R:3 pbc="T T T"
S -0.924 -2.309 0.954
Bi 0.000 0.000 0.000
O 1.084 -4.211 -1.703
Cl 2.497 -1.052 -0.128
Cl -0.488 -0.850 -2.529
```

Computed properties:
The mass density is 3.5 g cm⁻³. The value obtained for the volume is 31.35 Å³/atom. The calculation puts the total magnetization at 2.7 μB/f.u.



a) ends up most stable, edging out the next structure by 26 meV/atom.



a) Material: TaBi4ClO8
Method: DFT, PBE
State: relaxed

Cell and atoms, written as extended XYZ:
```
14
Lattice="3.907 0.000 0.000 0.000 3.907 0.000 0.000 0.000 14.315" Properties=species:S:1:pos:R:3 pbc="T T T"
Ta 0.000 0.000 0.000
Bi 1.953 1.953 2.610
Bi 1.953 1.953 11.704
Bi 0.000 0.000 9.173
Bi 0.000 0.000 5.141
Cl 1.953 1.953 7.157
O 0.000 0.000 2.020
O 0.000 1.953 4.047
O 1.953 0.000 0.000
O 0.000 1.953 0.000
O 1.953 0.000 4.047
O 0.000 1.953 10.267
O 1.953 0.000 10.267
O 0.000 0.000 12.294
```

Computed properties:
The mass density is 9.0 g cm⁻³. The value obtained for the volume is 15.61 Å³/atom. The calculation puts the total magnetization at 0.0 μB/f.u.



b) Material: TaBi4ClO8
Method: DFT, PBE
State: relaxed

Cell and atoms, written as extended XYZ:
```
56
Lattice="-4.553 2.513 -1.867 1.358 -1.421 -5.227 -15.069 -25.135 2.919" Properties=species:S:1:pos:R:3 pbc="T T T"
Ta -9.973 -20.242 -2.927
Ta -12.928 -18.275 -1.247
Ta -3.739 -6.314 0.619
Ta -5.336 -5.768 -2.928
Bi -2.601 -1.177 -3.253
Bi -14.803 -20.078 1.282
Bi -13.587 -14.841 -2.810
Bi -6.061 -8.774 -4.824
Bi -6.204 -2.116 -3.688
Bi -15.663 -22.867 -0.921
Bi -8.591 -14.281 1.565
Bi -8.167 -10.258 -2.230
Bi -4.677 -9.202 -1.364
Bi -12.203 -15.269 0.649
Bi -12.060 -21.928 -0.486
Bi -3.462 -3.965 -5.456
Bi -18.527 -20.950 0.796
Bi -10.097 -13.785 -1.944
Bi -9.674 -9.763 -5.740
Bi 0.263 -3.094 -4.971
Cl -9.811 -11.311 0.526
Cl -6.856 -13.278 -1.154
Cl -2.276 1.256 -0.933
Cl 0.679 -0.711 -2.613
O -4.260 -5.715 -1.344
O -14.657 -17.632 -0.206
O -11.252 -18.850 -1.973
O -6.307 -5.918 -4.804
O -7.012 -5.193 -2.201
O -11.957 -18.125 0.630
O -14.004 -18.329 -2.830
O -3.607 -6.411 -3.968
O -5.793 -7.715 -2.809
O -13.164 -16.282 -4.541
O -13.519 -20.083 -0.617
O -6.797 -2.492 -1.507
O -4.746 -3.961 -3.558
O -11.467 -21.551 -2.667
O -12.471 -16.329 -1.365
O -5.100 -7.762 0.367
O -4.657 -1.117 -2.368
O -14.263 -22.229 0.817
O -11.499 -14.409 -3.574
O -6.062 -10.358 -3.204
O -2.388 -2.399 -1.397
O -16.501 -20.963 -0.142
O -9.215 -15.707 -2.661
O -8.316 -9.076 -4.105
O -9.049 -8.336 -1.514
O -9.948 -14.967 -0.069
O -15.876 -21.644 -2.777
O -1.763 -3.081 -4.032
O -6.765 -9.634 -0.600
O -12.202 -13.685 -0.971
O -13.608 -22.926 -1.806
O -4.002 -1.814 -4.992
```

Computed properties:
The mass density is 8.6 g cm⁻³. The value obtained for the volume is 16.23 Å³/atom. The calculation puts the total magnetization at 0.0 μB/f.u.



b) ends up most stable, edging out the next structure by 70 meV/atom.